# 1
DFT (PBE) results for crystalline K2NbReN at its relaxed geometry.

Structure (CIF):
```
data_K2NbReN
_cell_length_a 6.8271
_cell_length_b 6.8271
_cell_length_c 3.9614
_cell_angle_alpha 90.00
_cell_angle_beta 90.00
_cell_angle_gamma 90.00
_symmetry_space_group_name_H-M 'P 4/m m m'
_symmetry_Int_Tables_number 123
_symmetry_space_group_name_Hall '-P 4 2'
loop_
_atom_site_label
_atom_site_fract_x
_atom_site_fract_y
_atom_site_fract_z
K1 0.0000 0.5000 0.0000
Nb1 0.0000 0.0000 0.0000
Re1 0.5000 0.5000 0.5000
N1 0.0000 0.0000 0.5000
```

## Properties
- Crystal system: tetragonal
- Raw total energy: -4.886 eV/atom
- Formation energy without anion corrections: 1.722 eV per atom

---

# 2
DFT (PBE) results for crystalline CdInS2 at its relaxed geometry.

Structure (CIF):
```
data_CdInS2
_cell_length_a 3.8695
_cell_length_b 3.8695
_cell_length_c 6.8105
_cell_angle_alpha 90.00
_cell_angle_beta 90.00
_cell_angle_gamma 120.00
_symmetry_space_group_name_H-M 'P -3 m 1'
_symmetry_Int_Tables_number 164
_symmetry_space_group_name_Hall '-P 3 2"'
loop_
_atom_site_label
_atom_site_fract_x
_atom_site_fract_y
_atom_site_fract_z
Cd1 0.0000 0.0000 0.0000
In1 0.0000 0.0000 0.5000
S1 0.3333 0.6667 0.2450
```

## Properties
- Crystal system: trigonal
- Raw total energy: -3.358 eV/atom
- Formation energy without anion corrections: -0.381 eV per atom

---

# 3
DFT (PBE) results for crystalline Dy6Ga3O at its relaxed geometry.

Structure (CIF):
```
data_Dy6Ga3O
_cell_length_a 6.3852
_cell_length_b 7.7883
_cell_length_c 11.1239
_cell_angle_alpha 90.00
_cell_angle_beta 120.22
_cell_angle_gamma 90.00
_symmetry_space_group_name_H-M 'P 1 21/c 1'
_symmetry_Int_Tables_number 14
loop_
_symmetry_equiv_pos_as_xyz
'x,y,z'
'-x,-y,-z'
'-x,y+1/2,-z+1/2'
'x,-y+1/2,z+1/2'
loop_
_atom_site_label
_atom_site_fract_x
_atom_site_fract_y
_atom_site_fract_z
Dy1 0.0757 0.0477 0.2314
Dy2 0.1821 0.7090 0.0614
Dy3 0.3905 0.1527 0.0589
Ga1 0.3185 0.1196 0.7446
Ga2 0.5000 0.0000 0.5000
O1 0.0000 0.0000 0.0000
```

## Properties
- Crystal system: monoclinic
- Raw total energy: -5.037 eV/atom
- Formation energy without anion corrections: -0.872 eV per atom

---

# 4
DFT (PBE) results for crystalline CrIn3Re at its relaxed geometry.

Structure (CIF):
```
data_CrIn3Re
_cell_length_a 5.2005
_cell_length_b 5.2005
_cell_length_c 5.2005
_cell_angle_alpha 90.00
_cell_angle_beta 90.00
_cell_angle_gamma 90.00
_symmetry_space_group_name_H-M 'P m -3 m'
_symmetry_Int_Tables_number 221
_symmetry_space_group_name_Hall '-P 4 2 3'
loop_
_atom_site_label
_atom_site_fract_x
_atom_site_fract_y
_atom_site_fract_z
Cr1 0.0000 0.0000 0.0000
In1 0.0000 0.5000 0.5000
Re1 0.5000 0.5000 0.5000
```

## Properties
- Distance to the lowest polymorph of the same formula: 0 meV per atom
- Crystal system: cubic
- Raw total energy: -5.156 eV/atom

---

# 5
DFT (PBE) results for crystalline EuGdDyHg at its relaxed geometry.

Structure (CIF):
```
data_EuGdDyHg
_cell_length_a 7.7166
_cell_length_b 7.7166
_cell_length_c 7.7166
_cell_angle_alpha 90.00
_cell_angle_beta 90.00
_cell_angle_gamma 90.00
_symmetry_space_group_name_H-M 'F -4 3 m'
_symmetry_Int_Tables_number 216
_symmetry_space_group_name_Hall 'F -4 2 3'
loop_
_atom_site_label
_atom_site_fract_x
_atom_site_fract_y
_atom_site_fract_z
Eu1 0.0000 0.0000 0.0000
Gd1 0.2500 0.2500 0.2500
Dy1 0.2500 0.2500 0.7500
Hg1 0.0000 0.0000 0.5000
```

## Properties
- Crystal system: cubic
- Raw total energy: -7.371 eV/atom

---

# 6
DFT (PBE) results for crystalline Ac2TeH3 at its relaxed geometry.

Structure (CIF):
```
data_Ac2TeH3
_cell_length_a 4.2868
_cell_length_b 4.2868
_cell_length_c 7.6746
_cell_angle_alpha 90.00
_cell_angle_beta 90.00
_cell_angle_gamma 120.00
_symmetry_space_group_name_H-M 'P -3 m 1'
_symmetry_Int_Tables_number 164
_symmetry_space_group_name_Hall '-P 3 2"'
loop_
_atom_site_label
_atom_site_fract_x
_atom_site_fract_y
_atom_site_fract_z
Ac1 0.3333 0.6667 0.2881
Te1 0.0000 0.0000 0.0000
H1 0.0000 0.0000 0.5000
H2 0.3333 0.6667 0.6213
```

## Properties
- Crystal system: trigonal
- Raw total energy: -4.386 eV/atom

---

# 7
DFT (PBE) results for crystalline ZnPt2Cl at its relaxed geometry.

Structure (CIF):
```
data_ZnPt2Cl
_cell_length_a 5.5802
_cell_length_b 9.2108
_cell_length_c 3.0008
_cell_angle_alpha 90.00
_cell_angle_beta 121.86
_cell_angle_gamma 90.00
_symmetry_space_group_name_H-M 'C 1 2/m 1'
_symmetry_Int_Tables_number 12
loop_
_symmetry_equiv_pos_as_xyz
'x,y,z'
'-x,-y,-z'
'-x,y,-z'
'x,-y,z'
'x+1/2,y+1/2,z'
'-x+1/2,-y+1/2,-z'
'-x+1/2,y+1/2,-z'
'x+1/2,-y+1/2,z'
loop_
_atom_site_label
_atom_site_fract_x
_atom_site_fract_y
_atom_site_fract_z
Zn1 0.0000 0.0000 0.0000
Pt1 0.2500 0.2500 0.0000
Cl1 0.0000 0.5000 0.0000
```

## Properties
- Distance to the lowest polymorph of the same formula: 215 meV per atom
- Crystal system: monoclinic
- Raw total energy: -3.670 eV/atom
- Formation energy without anion corrections: 0.130 eV per atom

---

# 8
DFT (PBE) results for crystalline UTc3 at its relaxed geometry.

Structure (CIF):
```
data_UTc3
_cell_length_a 5.9430
_cell_length_b 5.9430
_cell_length_c 4.2891
_cell_angle_alpha 90.00
_cell_angle_beta 90.00
_cell_angle_gamma 120.00
_symmetry_space_group_name_H-M 'P 63/m m c'
_symmetry_Int_Tables_number 194
_symmetry_space_group_name_Hall '-P 6c 2c'
loop_
_atom_site_label
_atom_site_fract_x
_atom_site_fract_y
_atom_site_fract_z
U1 0.3333 0.6667 0.2500
Tc1 0.1697 0.3393 0.7500
```

## Properties
- Crystal system: hexagonal
- Raw total energy: -10.553 eV/atom

---

Repeat the fifth record exactly.
DFT (PBE) results for crystalline EuGdDyHg at its relaxed geometry.

Structure (CIF):
```
data_EuGdDyHg
_cell_length_a 7.7166
_cell_length_b 7.7166
_cell_length_c 7.7166
_cell_angle_alpha 90.00
_cell_angle_beta 90.00
_cell_angle_gamma 90.00
_symmetry_space_group_name_H-M 'F -4 3 m'
_symmetry_Int_Tables_number 216
_symmetry_space_group_name_Hall 'F -4 2 3'
loop_
_atom_site_label
_atom_site_fract_x
_atom_site_fract_y
_atom_site_fract_z
Eu1 0.0000 0.0000 0.0000
Gd1 0.2500 0.2500 0.2500
Dy1 0.2500 0.2500 0.7500
Hg1 0.0000 0.0000 0.5000
```

## Properties
- Crystal system: cubic
- Raw total energy: -7.371 eV/atom

---

Question: The highest raw total energy belongs to which entry?
Answer: CdInS2

---

Question: Which of these has the highest raw total energy?
Answer: CdInS2